DFT (PBE) results for an optimized crystal structure of K8RbCd2.

a = 10.3919 Å, b = 10.3919 Å, c = 7.2215 Å
α = 110.21°, β = 110.21°, γ = 80.01°
Closest atoms and distances in Å follow each position.
Fractional positions:
K 0.9998 0.3461 0.6721  1 Cd 3.73
K 0.0002 0.6539 0.3279  1 Cd 3.73
K 0.1858 0.8142 0.0000  1 Rb 4.20, 6 K 4.37-4.59, 2 Cd 4.47
K 0.2715 0.2715 0.2712  2 Cd 3.60
K 0.3461 0.9998 0.6721  1 Cd 3.73
K 0.6539 0.0002 0.3279  1 Cd 3.73
K 0.7285 0.7285 0.7288  2 Cd 3.60
K 0.8142 0.1858 0.0000  1 Rb 4.20, 6 K 4.37-4.59, 2 Cd 4.47
Rb 0.5000 0.5000 0.0000  4 Cd 3.93, 2 K 4.20
Cd 0.3832 0.6168 0.5000  1 Cd 3.12
Cd 0.6168 0.3832 0.5000  1 Cd 3.12

Output
Magnetization ... 0.000 μB per formula unit
Calculated density ... 1.5 Mg/m³
Energy of formation ... 0.010 eV/atom
Total energy ... -1.0430 eV per atom